No. 1
La2Os2I: optimized geometry, PBE.

```
data_La2Os2I
_symmetry_space_group_name_H-M 'P -6 m 2'
_symmetry_Int_Tables_number 187
_symmetry_space_group_name_Hall 'P -6 2'
_cell_length_a 4.3358
_cell_length_b 4.3358
_cell_length_c 8.9829
_cell_angle_alpha 90.00
_cell_angle_beta 90.00
_cell_angle_gamma 120.00
loop_
_atom_site_label
_atom_site_fract_x
_atom_site_fract_y
_atom_site_fract_z
La1 0.0000 0.0000 0.2161
Os1 0.3333 0.6667 0.0000
Os2 0.6667 0.3333 0.0000
I1 0.6667 0.3333 0.5000
```

ρ, g/cm3: 8.9
E_tot, eV per atom: -7.37

=====

No. 2
LaPrPI2: optimized geometry, PBE.

```
data_LaPrPI2
_symmetry_space_group_name_H-M 'P 3 m 1'
_symmetry_Int_Tables_number 156
_symmetry_space_group_name_Hall 'P 3 -2"'
_cell_length_a 4.3071
_cell_length_b 4.3071
_cell_length_c 11.3197
_cell_angle_alpha 90.00
_cell_angle_beta 90.00
_cell_angle_gamma 120.00
loop_
_atom_site_label
_atom_site_fract_x
_atom_site_fract_y
_atom_site_fract_z
La1 0.0000 0.0000 0.0000
Pr1 0.3333 0.6667 0.2823
P1 0.6667 0.3333 0.1425
I1 0.0000 0.0000 0.4690
I2 0.3333 0.6667 0.8103
```

ρ, g/cm3: 5.2
E_tot, eV per atom: -5.21